## TcP2WO (GGA+U)

Data for a relaxed structure of TcP2WO.

Computed properties:
Total moment in μB per formula unit: 4.43
Space group: P4/mmm, No. 123
Calculated total energy in eV/cell: -31.5
Distance to the lowest polymorph of the same formula in eV/f.u.: 0.569

Structure (POSCAR):
```
TcP2WO
1.0
4.901 0.000 0.000
0.000 4.901 0.000
0.000 0.000 3.763
W P Tc O
1 2 1 1
direct
0.000 0.000 0.000
0.500 0.000 0.000
0.000 0.500 0.000
0.500 0.500 0.500
0.000 0.000 0.500
```